Record 1
The following is a GGA-PBE calculation of crystalline La2TbPm2Y at its relaxed geometry, from Alexandria.

The structure in POSCAR format:
```
La2TbPm2Y
1.0
-2.807 0.012 -5.034
4.469 -4.991 -2.503
-6.096 -7.154 3.382
Pm Y La Tb
4 2 4 2
Direct
0.500 0.258 0.332 Pm
0.000 0.757 0.165 Pm
0.000 0.257 0.835 Pm
0.500 0.758 0.668 Pm
0.000 0.508 0.500 Y
0.000 0.008 0.500 Y
0.000 0.758 0.825 La
0.000 0.258 0.175 La
0.500 0.508 0.999 La
0.500 0.008 0.001 La
0.500 0.757 0.342 Tb
0.500 0.257 0.658 Tb
```

Values from the calculation:
- symmetry = Pmc2_1, No. 26


Record 2
The following is a GGA-PBE calculation of crystalline BeAlIn2 at its relaxed geometry, from Alexandria.

The structure in POSCAR format:
```
BeAlIn2
1.0
-1.692 -2.286 4.710
1.545 -5.211 0.856
2.492 4.683 -1.461
In Be Al
2 1 1
Direct
0.000 0.000 0.000 In
0.250 0.750 0.500 In
0.750 0.250 0.500 Be
0.500 0.500 0.000 Al
```

Values from the calculation:
- symmetry = I-4m2, No. 119
- polymorph energy (0 for the lowest one) (meV per atom) = 154


Record 3
The following is a GGA-PBE calculation of crystalline CuMoPb2 at its relaxed geometry, from Alexandria.

The structure in POSCAR format:
```
CuMoPb2
1.0
4.194 0.000 0.000
0.000 3.759 0.004
0.000 1.887 5.296
Mo Pb Cu
1 2 1
Direct
0.500 0.553 0.768 Mo
0.500 0.272 0.333 Pb
0.000 0.977 0.919 Pb
0.000 0.698 0.480 Cu
```

Values from the calculation:
- symmetry = Pm, No. 6
- polymorph energy (0 for the lowest one) (meV per atom) = 15


Record 4
The following is a GGA-PBE calculation of crystalline PmCdNi at its relaxed geometry, from Alexandria.

The structure in POSCAR format:
```
PmCdNi
1.0
3.438 0.000 0.000
0.000 3.438 0.000
-1.719 -1.719 5.424
Pm Cd Ni
1 1 1
Direct
0.929 0.929 0.858 Pm
0.644 0.644 0.287 Cd
0.278 0.278 0.555 Ni
```

Values from the calculation:
- symmetry = I4mm, No. 107
- polymorph energy (0 for the lowest one) (meV per atom) = 164


Record 5
The following is a GGA-PBE calculation of crystalline CeGa5 at its relaxed geometry, from Alexandria.

The structure in POSCAR format:
```
CeGa5
1.0
-2.451 2.654 2.873
-3.301 -2.630 -0.387
3.672 -1.916 4.903
Ga Ce
5 1
Direct
0.000 0.315 0.629 Ga
0.500 0.830 0.659 Ga
0.500 0.500 0.000 Ga
0.500 0.170 0.341 Ga
0.000 0.685 0.371 Ga
0.000 0.000 0.000 Ce
```

Values from the calculation:
- symmetry = Cmmm, No. 65
- polymorph energy (0 for the lowest one) (meV per atom) = 25


Record 6
The following is a GGA-PBE calculation of crystalline Y2CuPt2 at its relaxed geometry, from Alexandria.

The structure in POSCAR format:
```
Y2CuPt2
1.0
5.432 0.000 0.000
0.000 5.432 0.000
2.716 2.716 3.889
Y Pt Cu
2 2 1
Direct
0.250 0.750 0.500 Y
0.750 0.250 0.500 Y
0.333 0.333 0.334 Pt
0.667 0.667 0.666 Pt
0.000 0.000 0.000 Cu
```

Values from the calculation:
- symmetry = I4/mmm, No. 139


Record 7
The following is a GGA-PBE calculation of crystalline LiPmZnNi at its relaxed geometry, from Alexandria.

The structure in POSCAR format:
```
LiPmZnNi
1.0
4.629 0.000 0.000
2.314 4.009 0.000
2.314 1.336 3.779
Ni Pm Zn Li
1 1 1 1
Direct
0.250 0.250 0.250 Ni
0.000 0.000 0.000 Pm
0.500 0.500 0.500 Zn
0.750 0.750 0.750 Li
```

Values from the calculation:
- symmetry = F-43m, No. 216


Record 8
The following is a GGA-PBE calculation of crystalline ThAlHg at its relaxed geometry, from Alexandria.

The structure in POSCAR format:
```
ThAlHg
1.0
-2.014 -1.176 4.053
-5.696 -2.032 -0.722
1.256 -5.723 1.660
Th Al Hg
2 2 2
Direct
0.246 0.254 0.254 Th
0.754 0.746 0.746 Th
0.000 0.158 0.842 Al
0.000 0.842 0.158 Al
0.500 0.676 0.324 Hg
0.500 0.324 0.676 Hg
```

Values from the calculation:
- symmetry = Immm, No. 71
- polymorph energy (0 for the lowest one) (meV per atom) = 12


no.,E_form (eV per atom),total energy (eV per atom)
1,0.0499,-5.025
2,0.4457,-2.791
3,0.4504,-5.136
4,-0.1790,-3.995
5,-0.3118,-3.823
6,-0.7138,-6.535
7,-0.1580,-3.588
8,-0.3181,-4.140